1.
{"formula": "BaNi6", "functional": "PBE-GGA", "state": "optimized geometry", "lattice": [[6.3717, 0.0000, 0.0000], [0.0000, 6.3717, 0.0000], [0.0000, 0.0000, 6.3717]], "species": ["Ba", "Ba", "Ni", "Ni", "Ni", "Ni", "Ni", "Ni", "Ni", "Ni", "Ni", "Ni", "Ni", "Ni"], "frac_coords": [[0.0000, 0.0000, 0.0000], [0.5000, 0.5000, 0.5000], [0.0000, 0.2500, 0.5000], [0.0000, 0.5000, 0.2500], [0.0000, 0.5000, 0.7500], [0.0000, 0.7500, 0.5000], [0.2500, 0.0000, 0.5000], [0.2500, 0.5000, 0.0000], [0.5000, 0.0000, 0.2500], [0.5000, 0.0000, 0.7500], [0.5000, 0.2500, 0.0000], [0.5000, 0.7500, 0.0000], [0.7500, 0.0000, 0.5000], [0.7500, 0.5000, 0.0000]], "e_form_mev_per_atom": 414, "dft_energy_ev_per_atom": -4.816}

***

2.
{"formula": "CoTeAs2", "functional": "PBE-GGA", "state": "optimized geometry", "lattice": [[3.3600, 0.0000, 0.0000], [0.0000, 4.0381, 0.0000], [0.0000, 0.0000, 11.8357]], "species": ["Co", "Co", "Te", "Te", "As", "As", "As", "As"], "frac_coords": [[0.0000, 0.0000, 0.0000], [0.5000, 0.5000, 0.5000], [0.0000, 0.5000, 0.6728], [0.5000, 0.0000, 0.1728], [0.0000, 0.0000, 0.4903], [0.0000, 0.5000, 0.3470], [0.5000, 0.0000, 0.8470], [0.5000, 0.5000, 0.9903]], "e_form_raw_ev_per_atom": 0.17, "dft_energy_ev_per_atom": -4.713}

***

3.
{"formula": "YBe2I", "functional": "PBE-GGA", "state": "optimized geometry", "lattice": [[7.5511, 0.0000, 0.0000], [0.0000, 7.5511, 0.0000], [0.0000, 0.0000, 5.9612]], "species": ["Y", "Y", "Y", "Y", "Be", "Be", "Be", "Be", "Be", "Be", "Be", "Be", "I", "I", "I", "I"], "frac_coords": [[0.0000, 0.0000, 0.0000], [0.0000, 0.5000, 0.2500], [0.5000, 0.0000, 0.7500], [0.5000, 0.5000, 0.5000], [0.2271, 0.2500, 0.6250], [0.2500, 0.7271, 0.8750], [0.2500, 0.7729, 0.3750], [0.2729, 0.2500, 0.1250], [0.7271, 0.7500, 0.1250], [0.7500, 0.2271, 0.3750], [0.7500, 0.2729, 0.8750], [0.7729, 0.7500, 0.6250], [0.0000, 0.0000, 0.5000], [0.0000, 0.5000, 0.7500], [0.5000, 0.0000, 0.2500], [0.5000, 0.5000, 0.0000]], "e_form_raw_ev_per_atom": 0.58, "dft_energy_ev_per_atom": -3.291}

***

4.
{"formula": "BPSCl2", "functional": "PBE-GGA", "state": "optimized geometry", "lattice": [[4.1640, 0.0000, 0.0000], [0.0000, 4.1640, 0.0000], [0.0000, 0.0000, 4.5587]], "species": ["B", "P", "S", "Cl", "Cl"], "frac_coords": [[0.0000, 0.0000, 0.0000], [0.5000, 0.5000, 0.5000], [0.0000, 0.0000, 0.5000], [0.0000, 0.5000, 0.0000], [0.5000, 0.0000, 0.0000]], "e_form_raw_ev_per_atom": 0.81, "dft_energy_ev_per_atom": -3.172}

***

Repeat the first record exactly.
{"formula": "BaNi6", "functional": "PBE-GGA", "state": "optimized geometry", "lattice": [[6.3717, 0.0000, 0.0000], [0.0000, 6.3717, 0.0000], [0.0000, 0.0000, 6.3717]], "species": ["Ba", "Ba", "Ni", "Ni", "Ni", "Ni", "Ni", "Ni", "Ni", "Ni", "Ni", "Ni", "Ni", "Ni"], "frac_coords": [[0.0000, 0.0000, 0.0000], [0.5000, 0.5000, 0.5000], [0.0000, 0.2500, 0.5000], [0.0000, 0.5000, 0.2500], [0.0000, 0.5000, 0.7500], [0.0000, 0.7500, 0.5000], [0.2500, 0.0000, 0.5000], [0.2500, 0.5000, 0.0000], [0.5000, 0.0000, 0.2500], [0.5000, 0.0000, 0.7500], [0.5000, 0.2500, 0.0000], [0.5000, 0.7500, 0.0000], [0.7500, 0.0000, 0.5000], [0.7500, 0.5000, 0.0000]], "e_form_mev_per_atom": 414, "dft_energy_ev_per_atom": -4.816}

***

What is the formula in the second record? CoTeAs2